Record 1
A plane-wave DFT calculation with PBE was carried out for a relaxed structure of BaPSe.

Computed properties:
Its relative energy among the computed polymorphs is 6.3 kJ per mole of atoms. Its raw formation energy is -0.745 eV/atom.

Cell: 4.648 4.648 4.422 Å, 90.00 90.00 120.00°
Sites, in units of the cell vectors:
Ba 0.000 0.000 0.000
P 0.667 0.333 0.500
Se 0.333 0.667 0.500


Record 2
A plane-wave DFT calculation with PBE was carried out for a relaxed structure of BaPSe.

Computed properties:
Its relative energy among the computed polymorphs is 0.0 kJ per mole of atoms. Its raw formation energy is -0.811 eV/atom.

Cell: 5.522 5.522 5.522 Å, 131.24 131.24 71.43°
Sites, in units of the cell vectors:
Ba 0.000 0.000 0.000
P 0.625 0.625 0.000
Se 0.374 0.374 0.000


Record 3
A plane-wave DFT calculation with PBE was carried out for a relaxed structure of Ba4P2Se.

Computed properties:
Its raw formation energy is -1.246 eV/atom.

Cell: 9.103 9.103 9.103 Å, 112.01 112.01 104.50°
Sites, in units of the cell vectors:
Ba 0.224 0.279 0.555
Ba 0.224 0.669 0.945
Ba 0.279 0.224 0.055
Ba 0.331 0.776 0.555
Ba 0.669 0.224 0.445
Ba 0.721 0.776 0.945
Ba 0.776 0.331 0.055
Ba 0.776 0.721 0.445
P 0.000 0.500 0.500
P 0.500 0.000 0.000
P 0.500 0.500 0.000
P 0.500 0.500 0.500
Se 0.125 0.875 0.250
Se 0.875 0.125 0.750


Record 4
A plane-wave DFT calculation with PBE was carried out for a relaxed structure of BaP2Se.

Computed properties:
Its relative energy among the computed polymorphs is 55.6 kJ per mole of atoms. Its raw formation energy is -0.059 eV/atom.

Cell: 4.468 4.468 4.791 Å, 90.00 90.00 90.00°
Sites, in units of the cell vectors:
Ba 0.000 0.000 0.000
P 0.000 0.500 0.500
P 0.500 0.000 0.500
Se 0.500 0.500 0.000


Record 5
A plane-wave DFT calculation with PBE was carried out for a relaxed structure of BaPSe.

Computed properties:
Its relative energy among the computed polymorphs is 60.1 kJ per mole of atoms. Its raw formation energy is -0.188 eV/atom.

Cell: 5.391 5.391 5.391 Å, 60.00 60.00 60.00°
Sites, in units of the cell vectors:
Ba 0.000 0.000 0.000
P 0.250 0.250 0.250
Se 0.750 0.750 0.750


Record 6
A plane-wave DFT calculation with PBE was carried out for a relaxed structure of Ba2PSe4.

Computed properties:
Its raw formation energy is -1.190 eV/atom.

Cell: 6.754 7.034 9.593 Å, 90.00 109.53 90.00°
Sites, in units of the cell vectors:
Ba 0.177 0.250 0.447
Ba 0.299 0.750 0.074
Ba 0.701 0.250 0.926
Ba 0.823 0.750 0.553
P 0.416 0.750 0.705
P 0.584 0.250 0.295
Se 0.242 0.250 0.106
Se 0.252 0.005 0.763
Se 0.252 0.495 0.763
Se 0.275 0.750 0.429
Se 0.725 0.250 0.571
Se 0.748 0.505 0.237
Se 0.748 0.995 0.237
Se 0.758 0.750 0.894


Which value of raw formation energy does entry 4 give? -0.059 eV/atom